(1)
An optimized crystal structure of Li3Mg, computed with PBE.

a = 5.3212 Å, b = 5.3212 Å, c = 5.3212 Å
α = 132.38°, β = 132.38°, γ = 69.63°
Positions (direct):
Li 0.0000 0.0000 0.0000
Li 0.2500 0.7500 0.5000
Li 0.7500 0.2500 0.5000
Mg 0.5000 0.5000 0.0000

Computed properties:
- symmetry = I4/mmm, No. 139
- N(E_F) (states/eV per atom) = 0.528
- ΔH_f (0 K) (eV per atom) = -0.025

(2)
An optimized crystal structure of Sr3In3Au8, computed with PBE.

a = 8.9896 Å, b = 8.9896 Å, c = 8.9896 Å
α = 149.22°, β = 112.06°, γ = 76.42°
Positions (direct):
Sr 0.0000 0.0000 0.0000
Sr 0.2917 0.2917 0.0000
Sr 0.7083 0.7083 0.0000
In 0.2946 0.5000 0.7946
In 0.5000 0.0000 0.5000
In 0.7054 0.5000 0.2054
Au 0.0265 0.6638 0.3627
Au 0.1537 0.8643 0.2894
Au 0.3011 0.6638 0.6373
Au 0.4251 0.1357 0.2894
Au 0.5749 0.8643 0.7106
Au 0.6989 0.3362 0.3627
Au 0.8463 0.1357 0.7106
Au 0.9735 0.3362 0.6373

Computed properties:
- symmetry = Immm, No. 71
- N(E_F) (states/eV per atom) = 0.393
- ΔH_f (0 K) (eV per atom) = -0.535

(3)
An optimized crystal structure of In2RuBr, computed with PBE.

a = 3.4337 Å, b = 4.6073 Å, c = 5.6839 Å
α = 90.00°, β = 107.46°, γ = 90.00°
Positions (direct):
In 0.0000 0.0000 0.0000
In 0.3080 0.5000 0.6148
Ru 0.5578 0.5000 0.1200
Br 0.7260 0.0000 0.4525

Computed properties:
- symmetry = Pm, No. 6
- N(E_F) (states/eV per atom) = 0.380
- formation energy (no corrections) (eV/f.u.) = 0.81
- relative energy among the computed polymorphs (meV per atom) = 290

(4)
An optimized crystal structure of Nd8HOs3Cl3, computed with PBE.

a = 8.1531 Å, b = 8.1531 Å, c = 8.7346 Å
α = 117.91°, β = 117.91°, γ = 59.92°
Positions (direct):
Nd 0.2307 0.7391 0.7088
Nd 0.2383 0.2383 0.7147
Nd 0.2608 0.2608 0.2912
Nd 0.2609 0.7693 0.2912
Nd 0.7391 0.2307 0.7088
Nd 0.7392 0.7392 0.7088
Nd 0.7617 0.7617 0.2853
Nd 0.7693 0.2609 0.2912
H 0.5000 0.5000 0.5000
Os 0.0000 0.0000 0.5000
Os 0.0000 0.5000 0.5000
Os 0.5000 0.0000 0.5000
Cl 0.0000 0.5000 0.0000
Cl 0.5000 0.0000 0.0000
Cl 0.5000 0.5000 0.0000

Computed properties:
- symmetry = C2/m, No. 12
- N(E_F) (states/eV per atom) = 0.680
- electronic total energy (eV per atom) = -6.00